## ZrVCu2Ni (PBE)

Data for a geometry-optimized ZrVCu2Ni structure.

abc: 4.514 4.539 4.514
angles: 90.00 90.00 90.00
Positions (direct):
Cu (0.000, 0.000, 0.500)
Zr (0.000, 0.500, 0.000)
Cu (0.500, 0.000, 0.000)
Ni (0.500, 0.500, 0.500)
V (0.000, 0.000, 0.000)

- Magnetic moment: 1.23 μB per formula unit
- Symmetry: P4/mmm, No. 123
- N(E_F): 7.9 states/eV/cell
- Total DFT energy (no corrections): -5.102 eV/atom